## CaSiTc (PBE)

Data for a relaxed structure of CaSiTc.

SG ... F-43m (216)
Fermi-level density of states ... 6.89 states/eV/f.u.
Calculated volume ... 23.9 A^3/atom
Relative energy among the computed polymorphs ... 5.36 eV per formula unit

```
CaSiTc
1.0
0.000 3.297 3.297
3.297 0.000 3.297
3.297 3.297 0.000
Ca Si Tc
1 1 1
Direct
0.000 0.000 0.000
0.750 0.750 0.750
0.250 0.250 0.250
```

---

## Sm3ErSc (PBE)

Data for a relaxed structure of Sm3ErSc.

SG ... Pbcm (57)
Fermi-level density of states ... 7.42 states/eV/f.u.
Calculated volume ... 32.2 A^3/atom
Formation energy from the elements ... 160 meV per atom
Relative energy among the computed polymorphs ... 0.65 eV per formula unit

```
Sm3ErSc
1.0
3.509 0.000 0.000
0.000 17.316 0.000
0.000 0.000 10.609
Sm Er Sc
12 4 4
Direct
0.246 0.250 0.000
0.246 0.250 0.500
0.253 0.577 0.060
0.253 0.577 0.440
0.253 0.923 0.560
0.253 0.923 0.940
0.747 0.077 0.060
0.747 0.077 0.440
0.747 0.423 0.560
0.747 0.423 0.940
0.754 0.750 0.000
0.754 0.750 0.500
0.244 0.103 0.750
0.244 0.397 0.250
0.756 0.603 0.750
0.756 0.897 0.250
0.256 0.728 0.250
0.256 0.772 0.750
0.744 0.228 0.250
0.744 0.272 0.750
```

---

## Hf2TiAgSe (PBE)

Data for a relaxed structure of Hf2TiAgSe.

SG ... P4/mmm (123)
Fermi-level density of states ... 5.44 states/eV/f.u.
Calculated volume ... 25.4 A^3/atom
VASP energy ... -5.933 eV per atom

```
Hf2TiAgSe
1.0
5.102 0.000 0.000
0.000 5.102 0.000
0.000 0.000 4.881
Hf Ti Ag Se
2 1 1 1
Direct
0.000 0.500 0.000
0.500 0.000 0.000
0.000 0.000 0.500
0.000 0.000 0.000
0.500 0.500 0.500
```

---

## La12Pr2Ho5 (PBE)

Data for a relaxed structure of La12Pr2Ho5.

SG ... C2/m (12)
Fermi-level density of states ... 29.17 states/eV/f.u.
Calculated volume ... 35.6 A^3/atom
Formation energy from the elements ... 175 meV per atom
Relative energy among the computed polymorphs ... 1.40 eV per formula unit

```
La12Pr2Ho5
1.0
11.087 -4.810 0.000
11.087 4.810 0.000
-0.135 0.000 6.338
La Pr Ho
12 2 5
Direct
0.071 0.071 0.422
0.119 0.466 0.848
0.173 0.571 0.394
0.422 0.422 0.948
0.429 0.827 0.606
0.466 0.119 0.848
0.534 0.881 0.152
0.571 0.173 0.394
0.578 0.578 0.052
0.827 0.429 0.606
0.881 0.534 0.152
0.929 0.929 0.578
0.189 0.811 0.000
0.811 0.189 0.000
0.141 0.141 0.937
0.233 0.233 0.384
0.500 0.500 0.500
0.767 0.767 0.616
0.859 0.859 0.063
```

---

## HfCu6Pd2 (PBE)

Data for a relaxed structure of HfCu6Pd2.

SG ... C2/m (12)
Fermi-level density of states ... 4.51 states/eV/f.u.
Calculated volume ... 14.0 A^3/atom
Formation energy from the elements ... -111 meV per atom

```
HfCu6Pd2
1.0
2.506 -6.462 0.000
2.506 6.462 0.000
-1.758 0.000 3.889
Hf Cu Pd
1 6 2
Direct
0.000 0.000 0.000
0.189 0.528 0.176
0.378 0.378 0.690
0.472 0.811 0.824
0.528 0.189 0.176
0.622 0.622 0.310
0.811 0.472 0.824
0.150 0.850 0.500
0.850 0.150 0.500
```

---

## Na2MgFe (PBE)

Data for a relaxed structure of Na2MgFe.

SG ... I-42d (122)
Fermi-level density of states ... 5.77 states/eV/f.u.
Calculated volume ... 25.3 A^3/atom
Formation energy from the elements ... 773 meV per atom

```
Na2MgFe
1.0
-4.219 4.219 2.842
4.219 -4.219 2.842
4.219 4.219 -2.842
Na Mg Fe
4 2 2
Direct
0.102 0.625 0.977
0.375 0.352 0.477
0.648 0.125 0.023
0.875 0.898 0.523
0.250 0.750 0.500
0.500 0.500 0.000
0.000 0.000 0.000
0.750 0.250 0.500
```